# 1
Below is crystalline Ag8SnS6 at its relaxed geometry, with properties calculated at the PBE level.

Output
Density of states at the Fermi level in states/eV per atom: 0.082
ΔE_f (raw) in meV/atom: -121.1
Mass density in g/cm³: 6.053
Space-group type: No. 31

The structure in extended XYZ format:
```
30
Lattice="7.646 0.000 0.000 0.000 7.810 0.000 0.000 0.000 10.786" Properties=species:S:1:pos:R:3 pbc="T T T"
Ag 2.289 0.000 5.664
Ag 3.625 6.231 7.909
Ag 2.925 0.000 10.403
Ag 4.021 2.326 2.516
Ag 4.721 3.905 5.009
Ag 6.453 1.672 9.192
Ag 0.834 5.517 6.836
Ag 1.193 5.577 3.799
Ag 6.453 6.139 9.192
Ag 4.021 5.484 2.516
Ag 5.357 3.905 0.271
Ag 1.193 2.233 3.799
Ag 6.812 1.612 1.442
Ag 6.812 6.198 1.442
Ag 3.625 1.579 7.909
Ag 0.834 2.293 6.836
S 1.591 0.000 8.061
S 5.792 5.807 6.517
S 2.160 3.905 5.315
S 6.055 3.905 2.668
S 5.486 0.000 10.708
S 1.854 5.908 1.124
S 0.013 3.905 9.006
S 5.792 2.003 6.517
S 3.827 0.000 3.724
S 7.633 0.000 3.612
S 1.854 1.902 1.124
S 3.819 3.905 9.118
Sn 1.877 3.905 10.566
Sn 5.769 0.000 5.173
```

=====

# 2
Below is crystalline AgSnS4 at its relaxed geometry, with properties calculated at the PBE level.

Output
Density of states at the Fermi level in states/eV per atom: 0.240
ΔE_f (raw) in meV/atom: 5.5
Mass density in g/cm³: 3.651
Space-group type: No. 63

The structure in extended XYZ format:
```
12
Lattice="-1.172 -4.966 -0.866 4.879 -1.355 1.070 -2.919 -1.338 11.618" Properties=species:S:1:pos:R:3 pbc="T T T"
S -0.935 -3.534 2.484
S -0.152 -3.063 6.186
S 0.939 -4.596 5.635
S 1.723 -4.124 9.337
S 2.149 -1.693 3.471
S 2.248 -3.996 0.429
S -1.460 -3.662 11.392
S -1.362 -5.965 8.350
Ag -0.312 -1.046 2.927
Ag 1.100 -6.612 8.894
Sn -0.715 -3.517 8.794
Sn 1.503 -4.141 3.027
```

=====

# 3
Below is crystalline AgSn5S6 at its relaxed geometry, with properties calculated at the PBE level.

Output
Density of states at the Fermi level in states/eV per atom: 0.385
ΔE_f (raw) in meV/atom: -340.6
Mass density in g/cm³: 5.249
Space-group type: No. 12

The structure in extended XYZ format:
```
12
Lattice="6.922 0.148 1.040 1.680 5.888 3.429 0.103 0.060 7.027" Properties=species:S:1:pos:R:3 pbc="T T T"
S 5.958 2.614 6.890
S 3.343 5.471 8.079
S 6.535 4.527 3.363
S 2.067 1.509 1.106
S 5.362 0.625 3.418
S 2.747 3.482 4.606
Sn 3.808 1.088 5.789
Sn 1.187 3.960 6.981
Sn 4.301 3.018 2.234
Sn 0.596 1.989 3.475
Sn 4.897 5.008 5.707
Ag 0.000 0.000 0.000
```

=====

# 4
Below is crystalline Ag2SnS4 at its relaxed geometry, with properties calculated at the PBE level.

Output
Density of states at the Fermi level in states/eV per atom: 0.562
ΔE_f (raw) in meV/atom: -95.5
Mass density in g/cm³: 4.921
Space-group type: No. 74

The structure in extended XYZ format:
```
14
Lattice="7.656 0.000 0.000 3.828 6.548 -0.057 3.828 2.078 6.210" Properties=species:S:1:pos:R:3 pbc="T T T"
Ag 3.828 0.000 0.000
Ag 7.656 4.313 3.077
Ag 3.828 2.212 3.942
Ag 11.483 6.414 2.211
S 11.483 6.436 4.754
S 7.656 6.349 4.693
S 3.828 2.191 1.399
S 7.656 2.277 1.461
S 9.394 5.342 1.447
S 9.394 3.284 4.707
S 5.917 5.342 1.447
S 5.917 3.284 4.707
Sn 5.742 3.274 -0.028
Sn 1.914 3.274 -0.028
```

=====

# 5
Below is crystalline Ag4Sn3S8 at its relaxed geometry, with properties calculated at the PBE level.

Output
Density of states at the Fermi level in states/eV per atom: 0.072
ΔE_f (raw) in meV/atom: -241.2
Mass density in g/cm³: 5.362
Space-group type: No. 213

The structure in extended XYZ format:
```
60
Lattice="-1.173 -10.832 -0.005 10.753 -1.165 1.319 -1.311 0.138 10.815" Properties=species:S:1:pos:R:3 pbc="T T T"
S 2.504 -4.517 7.367
S 0.255 -4.006 4.440
S -0.446 -6.659 7.024
S 3.289 -4.708 1.685
S 2.371 -9.716 7.029
S 0.066 -9.732 4.102
S 0.202 -1.540 7.146
S 2.125 -7.111 9.925
S 2.951 -7.316 4.325
S 5.695 -7.601 1.917
S 3.662 -1.623 4.447
S 8.214 -2.398 10.873
S 7.461 -10.159 7.761
S 1.054 -1.512 1.546
S 0.579 -7.154 1.400
S -0.276 -4.111 9.650
S 2.554 -1.892 10.071
S 2.869 -9.928 1.819
S 4.460 -9.931 10.029
S 5.941 -4.514 5.027
S 4.896 -4.790 10.125
S 8.122 -4.966 7.935
S -0.743 -9.755 9.784
S 6.644 -1.957 2.348
S 5.928 -1.774 7.456
S 8.922 -4.932 2.759
S 5.147 -7.383 7.551
S 5.235 -10.131 4.852
S 8.061 -7.484 5.334
S 8.796 -2.298 5.239
S 8.423 -10.648 2.662
S 7.322 -7.514 10.442
Sn 2.624 -9.876 4.459
Sn 6.191 -1.942 4.892
Sn 2.335 -4.467 9.944
Sn 4.753 -7.369 10.174
Sn -0.026 -4.110 7.010
Sn 4.897 -10.023 7.481
Sn 0.241 -9.717 1.525
Sn 8.475 -4.930 5.307
Sn 0.027 -1.477 9.727
Sn 7.768 -7.594 7.899
Sn 3.136 -7.290 1.744
Sn 9.184 -2.366 2.616
Ag 5.296 -4.498 7.560
Ag 0.119 -6.864 4.218
Ag 7.234 -10.378 10.613
Ag -0.742 -6.962 9.603
Ag 5.538 -7.263 4.691
Ag 8.440 -2.099 8.099
Ag 1.860 -9.984 9.768
Ag 8.095 -10.280 5.228
Ag 3.066 -1.705 7.254
Ag 5.737 -10.212 2.009
Ag 0.697 -4.375 1.701
Ag 0.868 -1.466 4.429
Ag 7.613 -4.939 10.779
Ag 2.317 -7.103 7.043
Ag 6.116 -4.773 2.174
Ag 3.886 -1.980 1.868
```

=====

# 6
Below is crystalline Ag2Sn3S8 at its relaxed geometry, with properties calculated at the PBE level.

Output
Density of states at the Fermi level in states/eV per atom: 0.354
ΔE_f (raw) in meV/atom: -177.8
Mass density in g/cm³: 4.518
Space-group type: No. 12

The structure in extended XYZ format:
```
13
Lattice="-0.378 6.417 -1.690 -5.849 0.804 4.361 6.742 -0.006 2.866" Properties=species:S:1:pos:R:3 pbc="T T T"
S -3.671 3.047 4.039
S 2.903 1.053 3.699
S 0.536 5.623 -0.317
S -2.388 6.162 1.839
S -0.502 2.612 1.675
S -0.021 1.592 5.855
S 4.186 4.168 1.499
S 1.017 4.603 3.862
Sn -0.189 3.209 -0.845
Sn -1.493 0.205 1.113
Sn -4.356 0.599 3.248
Ag 2.005 3.001 2.135
Ag -1.490 4.214 3.402
```

=====

# 7
Below is crystalline AgSnS3 at its relaxed geometry, with properties calculated at the PBE level.

Output
Density of states at the Fermi level in states/eV per atom: 0.513
ΔE_f (raw) in meV/atom: -79.5
Mass density in g/cm³: 4.408
Space-group type: No. 148

The structure in extended XYZ format:
```
10
Lattice="6.459 0.000 0.000 3.229 5.594 0.000 3.229 1.865 6.731" Properties=species:S:1:pos:R:3 pbc="T T T"
Ag 6.459 3.729 4.902
Ag 6.459 3.729 1.828
S 5.237 1.644 1.763
S 7.653 1.628 4.967
S 8.875 3.713 1.763
S 4.043 3.745 4.967
S 5.265 5.830 1.763
S 7.681 5.814 4.967
Sn 9.688 5.594 3.346
Sn 3.229 1.865 3.385
```

=====

# 8
Below is crystalline Ag5SnS6 at its relaxed geometry, with properties calculated at the PBE level.

Output
Density of states at the Fermi level in states/eV per atom: 0.459
ΔE_f (raw) in meV/atom: -69.8
Mass density in g/cm³: 5.980
Space-group type: No. 12

The structure in extended XYZ format:
```
12
Lattice="6.667 0.293 0.000 2.159 6.379 0.000 1.079 3.190 5.636" Properties=species:S:1:pos:R:3 pbc="T T T"
Ag 2.159 6.379 3.679
Ag 1.079 3.190 1.957
Ag 4.413 3.336 3.914
Ag 5.492 6.526 1.722
Ag 4.413 3.336 0.000
S 3.442 5.087 1.809
S 5.384 1.586 1.809
S 6.866 4.884 0.000
S 4.521 8.277 3.827
S 6.463 4.775 3.827
S 1.960 1.789 0.000
Sn 0.000 0.000 0.000
```